! PdS3N | Alexandria via LeMat-Bulk | PBE | optimized geometry; values from VASP
&SYSTEM
  ibrav = 0, nat = 5, ntyp = 3
/
ATOMIC_SPECIES
Pd 106.42 Pd.upf
S 32.06 S.upf
N 14.01 N.upf
CELL_PARAMETERS angstrom
4.735 0.000 0.000
0.000 4.735 0.000
0.000 0.000 4.735
ATOMIC_POSITIONS crystal
Pd 0.000 0.000 0.000
S 0.000 0.000 0.500
S 0.000 0.500 0.000
S 0.500 0.000 0.000
N 0.500 0.500 0.500
! Formation energy without anion corrections in kcal/mol of atoms: 40.0
! Energy above the lowest structure with this stoichiometry in meV/atom: 544
! Crystal system: cubic
! Final energy in eV/cell: -17.223
! Spin magnetization in μB/cell: 3.842

---

! ErScGa2 | Alexandria via LeMat-Bulk | PBE | optimized geometry; values from VASP
&SYSTEM
  ibrav = 0, nat = 16, ntyp = 3
/
ATOMIC_SPECIES
Er 167.26 Er.upf
Sc 44.96 Sc.upf
Ga 69.72 Ga.upf
CELL_PARAMETERS angstrom
6.903 0.000 0.000
0.000 6.903 0.000
0.000 0.000 6.903
ATOMIC_POSITIONS crystal
Er 0.000 0.000 0.000
Er 0.000 0.500 0.500
Er 0.500 0.000 0.500
Er 0.500 0.500 0.000
Sc 0.000 0.000 0.500
Sc 0.000 0.500 0.000
Sc 0.500 0.000 0.000
Sc 0.500 0.500 0.500
Ga 0.250 0.250 0.250
Ga 0.250 0.250 0.750
Ga 0.250 0.750 0.250
Ga 0.250 0.750 0.750
Ga 0.750 0.250 0.250
Ga 0.750 0.250 0.750
Ga 0.750 0.750 0.250
Ga 0.750 0.750 0.750
! Energy above the lowest structure with this stoichiometry in meV/atom: 27
! Crystal system: cubic
! Final energy in eV/cell: -77.020
! Energy of formation from the pure elements in meV/atom: -577
! Spin magnetization in μB/cell: 0.000

---

! ZrTlPdRu2 | Alexandria via LeMat-Bulk | PBE | optimized geometry; values from VASP
&SYSTEM
  ibrav = 0, nat = 5, ntyp = 4
/
ATOMIC_SPECIES
Zr 91.22 Zr.upf
Tl 204.38 Tl.upf
Pd 106.42 Pd.upf
Ru 101.07 Ru.upf
CELL_PARAMETERS angstrom
4.909 0.000 0.000
0.000 4.909 0.000
0.000 0.000 4.805
ATOMIC_POSITIONS crystal
Zr 0.000 0.000 0.000
Tl 0.500 0.500 0.500
Pd 0.500 0.500 0.000
Ru 0.000 0.500 0.500
Ru 0.500 0.000 0.500
! Crystal system: tetragonal
! Final energy in eV/cell: -27.322
! Energy of formation from the pure elements in meV/atom: 1467
! Spin magnetization in μB/cell: 0.913

---

! HgPd2Au | Alexandria via LeMat-Bulk | PBE | optimized geometry; values from VASP
&SYSTEM
  ibrav = 0, nat = 16, ntyp = 3
/
ATOMIC_SPECIES
Hg 200.59 Hg.upf
Pd 106.42 Pd.upf
Au 196.97 Au.upf
CELL_PARAMETERS angstrom
7.434 0.000 0.000
0.000 7.434 0.000
0.000 0.000 5.554
ATOMIC_POSITIONS crystal
Hg 0.000 0.000 0.000
Hg 0.000 0.500 0.250
Hg 0.500 0.000 0.750
Hg 0.500 0.500 0.500
Pd 0.248 0.250 0.625
Pd 0.250 0.748 0.875
Pd 0.250 0.752 0.375
Pd 0.252 0.250 0.125
Pd 0.748 0.750 0.125
Pd 0.750 0.248 0.375
Pd 0.750 0.252 0.875
Pd 0.752 0.750 0.625
Au 0.000 0.000 0.500
Au 0.000 0.500 0.750
Au 0.500 0.000 0.250
Au 0.500 0.500 0.000
! Crystal system: tetragonal
! Final energy in eV/cell: -53.495
! Energy of formation from the pure elements in meV/atom: 148
! Spin magnetization in μB/cell: 0.000

---

! Cr3C | Alexandria via LeMat-Bulk | PBE | optimized geometry; values from VASP
&SYSTEM
  ibrav = 0, nat = 4, ntyp = 2
/
ATOMIC_SPECIES
Cr 52.00 Cr.upf
C 12.01 C.upf
CELL_PARAMETERS angstrom
2.822 0.000 0.000
0.000 3.787 0.000
0.000 0.000 3.722
ATOMIC_POSITIONS crystal
Cr 0.000 0.000 0.000
Cr 0.000 0.500 0.378
Cr 0.500 0.500 0.835
C 0.500 0.000 0.458
! Energy above the lowest structure with this stoichiometry in meV/atom: 703
! Crystal system: orthorhombic
! Final energy in eV/cell: -35.656
! Energy of formation from the pure elements in meV/atom: 609
! Spin magnetization in μB/cell: 0.000

---

! UPdAu | Alexandria via LeMat-Bulk | PBE | optimized geometry; values from VASP
&SYSTEM
  ibrav = 0, nat = 3, ntyp = 3
/
ATOMIC_SPECIES
U 238.03 U.upf
Pd 106.42 Pd.upf
Au 196.97 Au.upf
CELL_PARAMETERS angstrom
4.788 0.000 0.000
-2.394 4.147 0.000
0.000 0.000 2.983
ATOMIC_POSITIONS crystal
U 0.000 0.000 0.000
Pd 0.667 0.333 0.500
Au 0.333 0.667 0.500
! Energy above the lowest structure with this stoichiometry in meV/atom: 16
! Crystal system: hexagonal
! Final energy in eV/cell: -20.624
! Energy of formation from the pure elements in meV/atom: -288
! Spin magnetization in μB/cell: 2.605

---

! Li2SnPb | Alexandria via LeMat-Bulk | PBE | optimized geometry; values from VASP
&SYSTEM
  ibrav = 0, nat = 16, ntyp = 3
/
ATOMIC_SPECIES
Li 6.94 Li.upf
Sn 118.71 Sn.upf
Pb 207.20 Pb.upf
CELL_PARAMETERS angstrom
7.790 0.000 0.000
0.000 5.771 0.000
-7.774 0.000 8.142
ATOMIC_POSITIONS crystal
Li 0.023 0.203 0.078
Li 0.023 0.297 0.578
Li 0.366 0.203 0.922
Li 0.366 0.297 0.422
Li 0.634 0.703 0.578
Li 0.634 0.797 0.078
Li 0.977 0.703 0.422
Li 0.977 0.797 0.922
Sn 0.135 0.750 0.250
Sn 0.135 0.750 0.750
Sn 0.865 0.250 0.250
Sn 0.865 0.250 0.750
Pb 0.406 0.502 0.156
Pb 0.406 0.998 0.656
Pb 0.594 0.002 0.344
Pb 0.594 0.498 0.844
! Crystal system: monoclinic
! Final energy in eV/cell: -49.290
! Energy of formation from the pure elements in meV/atom: -196
! Spin magnetization in μB/cell: 0.000

---

! NaSr2GaO4 | Alexandria via LeMat-Bulk | PBE | optimized geometry; values from VASP
&SYSTEM
  ibrav = 0, nat = 16, ntyp = 4
/
ATOMIC_SPECIES
Na 22.99 Na.upf
Sr 87.62 Sr.upf
Ga 69.72 Ga.upf
O 16.00 O.upf
CELL_PARAMETERS angstrom
1.742 -6.330 0.000
1.742 6.330 0.000
0.000 0.000 12.384
ATOMIC_POSITIONS crystal
Na 0.124 0.876 0.750
Na 0.876 0.124 0.250
Sr 0.372 0.628 0.535
Sr 0.372 0.628 0.965
Sr 0.628 0.372 0.035
Sr 0.628 0.372 0.465
Ga 0.177 0.823 0.250
Ga 0.823 0.177 0.750
O 0.000 0.000 0.000
O 0.000 0.000 0.500
O 0.258 0.742 0.126
O 0.258 0.742 0.374
O 0.399 0.601 0.750
O 0.601 0.399 0.250
O 0.742 0.258 0.626
O 0.742 0.258 0.874
! Formation energy without anion corrections in kcal/mol of atoms: -50.1
! Crystal system: orthorhombic
! Final energy in eV/cell: -89.818
! Spin magnetization in μB/cell: 0.248

---

! LaEr2Ta | Alexandria via LeMat-Bulk | PBE | optimized geometry; values from VASP
&SYSTEM
  ibrav = 0, nat = 12, ntyp = 3
/
ATOMIC_SPECIES
La 138.91 La.upf
Er 167.26 Er.upf
Ta 180.95 Ta.upf
CELL_PARAMETERS angstrom
3.284 0.000 0.000
-1.642 2.844 0.000
0.000 0.000 35.542
ATOMIC_POSITIONS crystal
La 0.000 0.000 0.000
La 0.333 0.667 0.667
La 0.667 0.333 0.333
Er 0.000 0.000 0.418
Er 0.000 0.000 0.582
Er 0.333 0.667 0.085
Er 0.333 0.667 0.248
Er 0.667 0.333 0.752
Er 0.667 0.333 0.915
Ta 0.000 0.000 0.500
Ta 0.333 0.667 0.167
Ta 0.667 0.333 0.833
! Crystal system: trigonal
! Final energy in eV/cell: -70.199
! Energy of formation from the pure elements in meV/atom: 627
! Spin magnetization in μB/cell: 1.064

---

! CaMn2CoRe | Alexandria via LeMat-Bulk | PBE | optimized geometry; values from VASP
&SYSTEM
  ibrav = 0, nat = 5, ntyp = 4
/
ATOMIC_SPECIES
Ca 40.08 Ca.upf
Mn 54.94 Mn.upf
Co 58.93 Co.upf
Re 186.21 Re.upf
CELL_PARAMETERS angstrom
4.339 0.000 0.000
0.000 4.339 0.000
0.000 0.000 4.508
ATOMIC_POSITIONS crystal
Ca 0.000 0.000 0.000
Mn 0.000 0.500 0.500
Mn 0.500 0.000 0.500
Co 0.500 0.500 0.500
Re 0.500 0.500 0.000
! Energy above the lowest structure with this stoichiometry in meV/atom: 0
! Crystal system: tetragonal
! Final energy in eV/cell: -33.798
! Energy of formation from the pure elements in meV/atom: 1219
! Spin magnetization in μB/cell: 0.076

---

! Pr3Ho3PuTe8 | Alexandria via LeMat-Bulk | PBE | optimized geometry; values from VASP
&SYSTEM
  ibrav = 0, nat = 15, ntyp = 4
/
ATOMIC_SPECIES
Pr 140.91 Pr.upf
Ho 164.93 Ho.upf
Pu 244.00 Pu.upf
Te 127.60 Te.upf
CELL_PARAMETERS angstrom
4.407 2.544 7.276
-4.407 2.544 7.276
0.000 -5.088 7.276
ATOMIC_POSITIONS crystal
Pr 0.000 0.500 0.500
Pr 0.500 0.000 0.500
Pr 0.500 0.500 0.000
Ho 0.000 0.000 0.500
Ho 0.000 0.500 0.000
Ho 0.500 0.000 0.000
Pu 0.500 0.500 0.500
Te 0.234 0.755 0.755
Te 0.245 0.245 0.245
Te 0.245 0.245 0.766
Te 0.245 0.766 0.245
Te 0.755 0.234 0.755
Te 0.755 0.755 0.234
Te 0.755 0.755 0.755
Te 0.766 0.245 0.245
! Formation energy without anion corrections in kcal/mol of atoms: -31.3
! Crystal system: trigonal
! Final energy in eV/cell: -87.880
! Spin magnetization in μB/cell: 6.197

---

! MgCd3Bi | Alexandria via LeMat-Bulk | PBE | optimized geometry; values from VASP
&SYSTEM
  ibrav = 0, nat = 5, ntyp = 3
/
ATOMIC_SPECIES
Mg 24.30 Mg.upf
Cd 112.41 Cd.upf
Bi 208.98 Bi.upf
CELL_PARAMETERS angstrom
5.330 0.000 0.000
0.000 5.330 0.000
0.000 0.000 5.330
ATOMIC_POSITIONS crystal
Mg 0.000 0.000 0.000
Cd 0.000 0.000 0.500
Cd 0.000 0.500 0.000
Cd 0.500 0.000 0.000
Bi 0.500 0.500 0.500
! Energy above the lowest structure with this stoichiometry in meV/atom: 0
! Crystal system: cubic
! Final energy in eV/cell: -6.039
! Energy of formation from the pure elements in meV/atom: 436
! Spin magnetization in μB/cell: 0.000